Below is a geometry-optimized KTaVO5 structure, with properties calculated at the PBE+U level.

Values from the calculation:
* total energy: -8.022 eV per atom
* space-group type: C2/c, No. 15

abc: 5.958 5.958 7.597
angles: 104.31 104.31 106.59
Element x y z (fractional)
K1 0.174 0.826 0.750
K2 0.826 0.174 0.250
Ta1 0.500 0.500 0.000
Ta2 0.500 0.500 0.500
V1 0.183 0.817 0.250
V2 0.817 0.183 0.750
O1 0.138 0.266 0.902
O2 0.226 0.617 0.395
O3 0.266 0.138 0.402
O4 0.383 0.774 0.105
O5 0.446 0.554 0.750
O6 0.554 0.446 0.250
O7 0.617 0.226 0.895
O8 0.734 0.862 0.598
O9 0.774 0.383 0.605
O10 0.862 0.734 0.098